[1]
Density functional theory data (GGA-PBE) for LiUGe2S6 after structural relaxation.

```
data_LiUGe2S6
_cell_length_a 6.6102
_cell_length_b 6.6102
_cell_length_c 17.3638
_cell_angle_alpha 90.00
_cell_angle_beta 90.00
_cell_angle_gamma 120.00
_space_group_name_H-M_alt 'R 3'
_space_group_IT_number 146
_space_group_name_Hall 'R 3'
loop_
_atom_site_label
_atom_site_type_symbol
_atom_site_fract_x
_atom_site_fract_y
_atom_site_fract_z
Li1 Li 0.0000 0.0000 0.0000
U1 U 0.0000 0.0000 0.5116
Ge1 Ge 0.0000 0.0000 0.1957
Ge2 Ge 0.0000 0.0000 0.7061
S1 S 0.0031 0.6635 0.7648
S2 S 0.0303 0.3494 0.2656
```

## Properties
Formation energy (no corrections) (kJ/mol of formula units): -648
Magnetic moment (μB/f.u.): 0.0

[2]
Density functional theory data (GGA-PBE) for Li3Y3GeS8 after structural relaxation.

```
data_Li3Y3GeS8
_cell_length_a 7.7316
_cell_length_b 7.7316
_cell_length_c 18.4180
_cell_angle_alpha 90.00
_cell_angle_beta 90.00
_cell_angle_gamma 120.00
_space_group_name_H-M_alt 'R -3 m'
_space_group_IT_number 166
_space_group_name_Hall '-R 3 2"'
loop_
_atom_site_label
_atom_site_type_symbol
_atom_site_fract_x
_atom_site_fract_y
_atom_site_fract_z
Li1 Li 0.0000 0.5000 0.0000
Y1 Y 0.0000 0.5000 0.5000
Ge1 Ge 0.0000 0.0000 0.5000
S1 S 0.0000 0.0000 0.2499
S2 S 0.0330 0.5165 0.2453
```

## Properties
Formation energy (no corrections) (kJ/mol of formula units): -2145
Magnetic moment (μB/f.u.): 0.0

[3]
Density functional theory data (GGA-PBE) for LiYGe2S after structural relaxation.

```
data_LiYGe2S
_cell_length_a 5.5411
_cell_length_b 5.5411
_cell_length_c 5.1741
_cell_angle_alpha 90.00
_cell_angle_beta 90.00
_cell_angle_gamma 90.00
_space_group_name_H-M_alt 'P 4/m m m'
_space_group_IT_number 123
_space_group_name_Hall '-P 4 2'
loop_
_atom_site_label
_atom_site_type_symbol
_atom_site_fract_x
_atom_site_fract_y
_atom_site_fract_z
Li1 Li 0.0000 0.0000 0.0000
Y1 Y 0.5000 0.5000 0.5000
Ge1 Ge 0.0000 0.5000 0.5000
S1 S 0.5000 0.5000 0.0000
```

## Properties
Formation energy (no corrections) (kJ/mol of formula units): 61
Magnetic moment (μB/f.u.): 0.0